DFT (PBE with a Hubbard U) results for a relaxed PuTaMoO6 crystal.

a = 5.3469 Å, b = 5.3469 Å, c = 9.7584 Å
α = 90.00°, β = 90.00°, γ = 120.00°
Space group P-31c (No. 163)
Inequivalent atoms, fractional coordinates:
Pu  0.0000  0.0000  0.0000 [2 per cell]
Ta  0.3333  0.6667  0.2500 [2 per cell]
Mo  0.3333  0.6667  0.7500 [2 per cell]
O  0.0192  0.3546  0.1359 [12 per cell]

Summary:
raw total energy = -9.5697 eV/atom